Entry 1:
This record from Alexandria describes a relaxed structure of SrY2Ru2. The functional is GGA-PBE.

Summary:
volume: 23.62 A^3/atom
M_tot: 0.00 μB/atom
energy of formation from the pure elements: -0.05 eV per atom
ρ: 6.574 Mg/m³

abc: 8.231 8.231 3.487
angles: 90.00 90.00 90.00
Element x y z (fractional)
Y 0.143 0.643 0.500
Y 0.643 0.857 0.500
Y 0.857 0.357 0.500
Y 0.357 0.143 0.500
Ru 0.352 0.852 0.000
Ru 0.852 0.648 0.000
Ru 0.648 0.148 0.000
Ru 0.148 0.352 0.000
Sr 0.000 0.000 0.000
Sr 0.500 0.500 0.000



Entry 2:
This record from Alexandria describes a relaxed structure of SrYRu2. The functional is GGA-PBE.

Summary:
volume: 23.62 A^3/atom
M_tot: 0.00 μB/atom
energy of formation from the pure elements: 0.37 eV per atom
ρ: 6.655 Mg/m³

abc: 4.733 4.733 6.545
angles: 80.32 80.32 40.93
Element x y z (fractional)
Ru 0.995 0.995 0.077
Ru 0.505 0.505 0.423
Sr 0.750 0.750 0.750
Y 0.250 0.250 0.250



no.,energy (eV per atom)
1,-6.683
2,-6.307